# PBE-GGA PmGdCoAu, relaxed
# space-group type	F-43m, No. 216
# total moment	6.561	μB per cell
# electronic total energy	-7.6728	eV per atom
# Fermi-level density of states	3.40	states/eV/f.u.
# energy of formation	-1.48	eV per formula unit
data_PmGdCoAu
_chemical_formula_sum 'Pm1 Gd1 Co1 Au1'
_symmetry_space_group_name_H-M 'P 1'
_symmetry_Int_Tables_number 1
_symmetry_space_group_name_Hall 'P 1'
_cell_length_a 5.029
_cell_length_b 5.029
_cell_length_c 5.029
_cell_angle_alpha 60.00
_cell_angle_beta 60.00
_cell_angle_gamma 60.00
loop_
_atom_site_label
_atom_site_type_symbol
_atom_site_fract_x
_atom_site_fract_y
_atom_site_fract_z
Co1 Co 0.500 0.500 0.500
Gd1 Gd 0.750 0.750 0.750
Au1 Au 0.000 0.000 0.000
Pm1 Pm 0.250 0.250 0.250

---

# PBE-GGA ThAl2Fe9, relaxed
# space-group type	P4/mbm, No. 127
# total moment	31.230	μB per cell
# electronic total energy	-7.7332	eV per atom
# Fermi-level density of states	16.74	states/eV/f.u.
# energy of formation	-1.73	eV per formula unit
data_ThAl2Fe9
_chemical_formula_sum 'Th2 Al4 Fe18'
_symmetry_space_group_name_H-M 'P 1'
_symmetry_Int_Tables_number 1
_symmetry_space_group_name_Hall 'P 1'
_cell_length_a 4.786
_cell_length_b 8.199
_cell_length_c 8.199
_cell_angle_alpha 90.00
_cell_angle_beta 90.00
_cell_angle_gamma 90.00
loop_
_atom_site_label
_atom_site_type_symbol
_atom_site_fract_x
_atom_site_fract_y
_atom_site_fract_z
Th1 Th 0.000 0.500 0.500
Th2 Th 0.000 0.000 0.000
Al1 Al 0.000 0.618 0.118
Al2 Al 0.000 0.382 0.882
Al3 Al 0.000 0.118 0.382
Al4 Al 0.000 0.882 0.618
Fe1 Fe 0.500 0.500 0.000
Fe2 Fe 0.500 0.000 0.500
Fe3 Fe 0.500 0.717 0.568
Fe4 Fe 0.500 0.283 0.432
Fe5 Fe 0.500 0.217 0.932
Fe6 Fe 0.500 0.783 0.068
Fe7 Fe 0.500 0.432 0.717
Fe8 Fe 0.500 0.568 0.283
Fe9 Fe 0.500 0.068 0.217
Fe10 Fe 0.500 0.932 0.783
Fe11 Fe 0.761 0.824 0.324
Fe12 Fe 0.761 0.176 0.676
Fe13 Fe 0.761 0.324 0.176
Fe14 Fe 0.761 0.676 0.824
Fe15 Fe 0.239 0.176 0.676
Fe16 Fe 0.239 0.824 0.324
Fe17 Fe 0.239 0.676 0.824
Fe18 Fe 0.239 0.324 0.176

---

# PBE-GGA AsClF3, relaxed
# space-group type	R3m, No. 160
# E above lowest polymorph	9	kJ/mol of formula units
# total moment	1.005	μB per cell
# electronic total energy	-3.9344	eV per atom
# Fermi-level density of states	0.51	states/eV/f.u.
# uncorrected formation energy	-730	kJ/mol of formula units
data_AsClF3
_chemical_formula_sum 'As1 Cl1 F3'
_symmetry_space_group_name_H-M 'P 1'
_symmetry_Int_Tables_number 1
_symmetry_space_group_name_Hall 'P 1'
_cell_length_a 4.944
_cell_length_b 4.944
_cell_length_c 4.944
_cell_angle_alpha 92.35
_cell_angle_beta 92.35
_cell_angle_gamma 92.35
loop_
_atom_site_label
_atom_site_type_symbol
_atom_site_fract_x
_atom_site_fract_y
_atom_site_fract_z
As1 As 0.022 0.022 0.022
Cl1 Cl 0.726 0.726 0.726
F1 F 0.875 0.251 0.251
F2 F 0.251 0.875 0.251
F3 F 0.251 0.251 0.875

---

# PBE-GGA UNi6Ir, relaxed
# space-group type	Fmmm, No. 69
# total moment	0.673	μB per cell
# electronic total energy	-7.0265	eV per atom
# Fermi-level density of states	9.41	states/eV/f.u.
# energy of formation	-1.37	eV per formula unit
data_UNi6Ir
_chemical_formula_sum 'U1 Ni6 Ir1'
_symmetry_space_group_name_H-M 'P 1'
_symmetry_Int_Tables_number 1
_symmetry_space_group_name_Hall 'P 1'
_cell_length_a 3.913
_cell_length_b 3.913
_cell_length_c 7.271
_cell_angle_alpha 105.58
_cell_angle_beta 105.58
_cell_angle_gamma 90.10
loop_
_atom_site_label
_atom_site_type_symbol
_atom_site_fract_x
_atom_site_fract_y
_atom_site_fract_z
U1 U 0.500 0.500 0.000
Ni1 Ni 0.638 0.138 0.276
Ni2 Ni 0.862 0.362 0.724
Ni3 Ni 0.249 0.249 0.498
Ni4 Ni 0.138 0.638 0.276
Ni5 Ni 0.362 0.862 0.724
Ni6 Ni 0.751 0.751 0.502
Ir1 Ir 0.000 0.000 0.000

---

# PBE-GGA LaCuP2S8, relaxed
# space-group type	P-3m1, No. 164
# total moment	0.001	μB per cell
# electronic total energy	-4.7926	eV per atom
# Fermi-level density of states	10.85	states/eV/f.u.
# uncorrected formation energy	-448	kJ/mol of formula units
data_LaCuP2S8
_chemical_formula_sum 'La1 Cu1 P2 S8'
_symmetry_space_group_name_H-M 'P 1'
_symmetry_Int_Tables_number 1
_symmetry_space_group_name_Hall 'P 1'
_cell_length_a 6.324
_cell_length_b 6.324
_cell_length_c 8.604
_cell_angle_alpha 90.00
_cell_angle_beta 90.00
_cell_angle_gamma 120.00
loop_
_atom_site_label
_atom_site_type_symbol
_atom_site_fract_x
_atom_site_fract_y
_atom_site_fract_z
La1 La 0.000 0.000 0.500
Cu1 Cu 0.000 0.000 0.000
P1 P 0.333 0.667 0.710
P2 P 0.667 0.333 0.290
S1 S 0.156 0.312 0.788
S2 S 0.156 0.844 0.788
S3 S 0.688 0.844 0.788
S4 S 0.312 0.156 0.212
S5 S 0.667 0.333 0.524
S6 S 0.333 0.667 0.476
S7 S 0.844 0.688 0.212
S8 S 0.844 0.156 0.212

---

# PBE-GGA ZrAgTe3, relaxed
# space-group type	C2/m, No. 12
# E above lowest polymorph	0	kJ/mol of formula units
# total moment	0.000	μB per cell
# electronic total energy	-4.6158	eV per atom
# Fermi-level density of states	0.23	states/eV/f.u.
# uncorrected formation energy	-218	kJ/mol of formula units
data_ZrAgTe3
_chemical_formula_sum 'Zr2 Ag2 Te6'
_symmetry_space_group_name_H-M 'P 1'
_symmetry_Int_Tables_number 1
_symmetry_space_group_name_Hall 'P 1'
_cell_length_a 4.495
_cell_length_b 7.691
_cell_length_c 9.753
_cell_angle_alpha 107.88
_cell_angle_beta 103.32
_cell_angle_gamma 90.00
loop_
_atom_site_label
_atom_site_type_symbol
_atom_site_fract_x
_atom_site_fract_y
_atom_site_fract_z
Zr1 Zr 0.787 0.768 0.574
Zr2 Zr 0.213 0.232 0.426
Ag1 Ag 0.521 0.745 0.041
Ag2 Ag 0.479 0.255 0.959
Te1 Te 0.950 0.808 0.900
Te2 Te 0.050 0.192 0.100
Te3 Te 0.332 0.039 0.665
Te4 Te 0.668 0.961 0.335
Te5 Te 0.185 0.586 0.370
Te6 Te 0.815 0.414 0.630

---

# PBE-GGA RbCdSbI2, relaxed
# space-group type	P4/mmm, No. 123
# E above lowest polymorph	0	kJ/mol of formula units
# total moment	1.947	μB per cell
# electronic total energy	-2.1961	eV per atom
# Fermi-level density of states	1.66	states/eV/f.u.
# uncorrected formation energy	-181	kJ/mol of formula units
data_RbCdSbI2
_chemical_formula_sum 'Rb1 Cd1 Sb1 I2'
_symmetry_space_group_name_H-M 'P 1'
_symmetry_Int_Tables_number 1
_symmetry_space_group_name_Hall 'P 1'
_cell_length_a 6.318
_cell_length_b 6.318
_cell_length_c 5.632
_cell_angle_alpha 90.00
_cell_angle_beta 90.00
_cell_angle_gamma 90.00
loop_
_atom_site_label
_atom_site_type_symbol
_atom_site_fract_x
_atom_site_fract_y
_atom_site_fract_z
I1 I 0.000 0.500 0.000
I2 I 0.500 0.000 0.000
Sb1 Sb 0.000 0.000 0.500
Rb1 Rb 0.500 0.500 0.500
Cd1 Cd 0.000 0.000 0.000

---

# PBE-GGA Sc2HgCl, relaxed
# space-group type	Pmmm, No. 47
# E above lowest polymorph	146	kJ/mol of formula units
# total moment	0.001	μB per cell
# electronic total energy	-4.1188	eV per atom
# Fermi-level density of states	4.82	states/eV/f.u.
# uncorrected formation energy	-161	kJ/mol of formula units
data_Sc2HgCl
_chemical_formula_sum 'Sc2 Hg1 Cl1'
_symmetry_space_group_name_H-M 'P 1'
_symmetry_Int_Tables_number 1
_symmetry_space_group_name_Hall 'P 1'
_cell_length_a 3.385
_cell_length_b 5.862
_cell_length_c 4.668
_cell_angle_alpha 90.00
_cell_angle_beta 90.00
_cell_angle_gamma 90.00
loop_
_atom_site_label
_atom_site_type_symbol
_atom_site_fract_x
_atom_site_fract_y
_atom_site_fract_z
Cl1 Cl 0.500 0.000 0.500
Hg1 Hg 0.000 0.500 0.500
Sc1 Sc 0.000 0.000 0.000
Sc2 Sc 0.500 0.500 0.000

---

# PBE-GGA AuC2, relaxed
# space-group type	P6/mmm, No. 191
# E above lowest polymorph	360	kJ/mol of formula units
# total moment	0.000	μB per cell
# electronic total energy	-5.7336	eV per atom
# Fermi-level density of states	2.45	states/eV/f.u.
# energy of formation	4.52	eV per formula unit
data_AuC2
_chemical_formula_sum 'Au1 C2'
_symmetry_space_group_name_H-M 'P 1'
_symmetry_Int_Tables_number 1
_symmetry_space_group_name_Hall 'P 1'
_cell_length_a 3.232
_cell_length_b 3.232
_cell_length_c 5.208
_cell_angle_alpha 90.00
_cell_angle_beta 90.00
_cell_angle_gamma 120.00
loop_
_atom_site_label
_atom_site_type_symbol
_atom_site_fract_x
_atom_site_fract_y
_atom_site_fract_z
C1 C 0.000 0.000 0.621
C2 C 0.000 0.000 0.379
Au1 Au 0.000 0.000 0.000

---

# PBE-GGA CaAgIr, relaxed
# space-group type	P-6m2, No. 187
# E above lowest polymorph	37	kJ/mol of formula units
# total moment	0.228	μB per cell
# electronic total energy	-4.4909	eV per atom
# Fermi-level density of states	3.68	states/eV/f.u.
# energy of formation	0.24	eV per formula unit
data_CaAgIr
_chemical_formula_sum 'Ca1 Ag1 Ir1'
_symmetry_space_group_name_H-M 'P 1'
_symmetry_Int_Tables_number 1
_symmetry_space_group_name_Hall 'P 1'
_cell_length_a 4.745
_cell_length_b 4.745
_cell_length_c 3.064
_cell_angle_alpha 90.00
_cell_angle_beta 90.00
_cell_angle_gamma 120.00
loop_
_atom_site_label
_atom_site_type_symbol
_atom_site_fract_x
_atom_site_fract_y
_atom_site_fract_z
Ca1 Ca 0.667 0.333 0.333
Ir1 Ir 0.333 0.667 0.834
Ag1 Ag 0.000 0.000 0.833

---

# PBE-GGA CaHoSiHg, relaxed
# space-group type	F-43m, No. 216
# total moment	0.000	μB per cell
# electronic total energy	-3.5039	eV per atom
# Fermi-level density of states	3.15	states/eV/f.u.
# uncorrected formation energy	-165	kJ/mol of formula units
data_CaHoSiHg
_chemical_formula_sum 'Ca1 Ho1 Si1 Hg1'
_symmetry_space_group_name_H-M 'P 1'
_symmetry_Int_Tables_number 1
_symmetry_space_group_name_Hall 'P 1'
_cell_length_a 5.145
_cell_length_b 5.145
_cell_length_c 5.145
_cell_angle_alpha 60.00
_cell_angle_beta 60.00
_cell_angle_gamma 60.00
loop_
_atom_site_label
_atom_site_type_symbol
_atom_site_fract_x
_atom_site_fract_y
_atom_site_fract_z
Ca1 Ca 0.500 0.500 0.500
Si1 Si 0.750 0.750 0.750
Hg1 Hg 0.250 0.250 0.250
Ho1 Ho 0.000 0.000 0.000